(1)
Crystalline Zr2TlFe at its relaxed geometry. Source: the Alexandria database, functional GGA-PBEsol.

Calculated values
- energy above the lowest structure with this stoichiometry (meV/atom) = 0

a = 3.0576 Å, b = 3.0576 Å, c = 7.9833 Å
α = 90.00°, β = 90.00°, γ = 90.00°
With the nearest neighbours (Å) after each atom.
Fractional positions:
1 Tl 0.5000 0.5000 0.5000  4 Tl 3.06, 8 Zr 3.22
2 Fe 0.5000 0.5000 0.0000  8 Zr 2.69
3 Zr 0.0000 0.0000 0.7989  4 Fe 2.69
4 Zr 0.0000 0.0000 0.2011  4 Fe 2.69

(2)
Crystalline ZrTlFe at its relaxed geometry. Source: the Alexandria database, functional GGA-PBEsol.

a = 4.5492 Å, b = 4.5492 Å, c = 4.5492 Å
α = 60.00°, β = 60.00°, γ = 60.00°
With the nearest neighbours (Å) after each atom.
Fractional positions:
1 Fe 0.0000 0.0000 0.0000  4 Zr 2.79
2 Tl 0.5000 0.5000 0.5000  4 Zr 2.79
3 Zr 0.2500 0.2500 0.2500  4 Tl 2.79, 4 Fe 2.79

(3)
Crystalline Zr2TlFe at its relaxed geometry. Source: the Alexandria database, functional GGA-PBEsol.

Calculated values
- energy above the lowest structure with this stoichiometry (meV/atom) = 148

a = 3.2485 Å, b = 4.6919 Å, c = 5.7463 Å
α = 114.09°, β = 106.42°, γ = 90.00°
With the nearest neighbours (Å) after each atom.
Fractional positions:
1 Fe 0.4924 0.4924 0.9848  6 Zr 2.57-2.86, 2 Tl 2.73
2 Tl 0.2124 0.7124 0.4248  2 Fe 2.73, 4 Zr 2.96
3 Zr 0.0025 0.0025 0.0051  4 Fe 2.86, 2 Tl 3.14, 2 Zr 3.14
4 Zr 0.7927 0.2927 0.5853  2 Fe 2.57

(4)
Crystalline TmFe3 at its relaxed geometry. Source: the Alexandria database, functional GGA-PBEsol.

a = 4.9099 Å, b = 4.9099 Å, c = 8.3843 Å
α = 72.97°, β = 72.97°, γ = 60.00°
With the nearest neighbours (Å) after each atom.
Fractional positions:
1 Tm 0.8580 0.8580 0.4261  12 Fe 2.84-2.96, 3 Tm 3.07
2 Tm 0.0000 0.0000 0.0000  18 Fe 2.83-3.12
3 Tm 0.1420 0.1420 0.5739  12 Fe 2.84-2.96, 3 Tm 3.07
4 Fe 0.5822 0.0805 0.7550  7 Fe 2.39-2.46
5 Fe 0.5822 0.5822 0.7550  7 Fe 2.39-2.46
6 Fe 0.9195 0.4178 0.2450  7 Fe 2.39-2.46
7 Fe 0.4178 0.9195 0.2450  7 Fe 2.39-2.46
8 Fe 0.0805 0.5822 0.7550  7 Fe 2.39-2.46
9 Fe 0.4178 0.4178 0.2450  7 Fe 2.39-2.46
10 Fe 0.6671 0.6671 0.9988  6 Fe 2.39-2.41
11 Fe 0.3329 0.3329 0.0012  6 Fe 2.39-2.41
12 Fe 0.5000 0.5000 0.5000  6 Fe 2.46

(5)
Crystalline TmFe2 at its relaxed geometry. Source: the Alexandria database, functional GGA-PBEsol.

a = 4.9711 Å, b = 4.9711 Å, c = 4.9711 Å
α = 60.00°, β = 60.00°, γ = 60.00°
With the nearest neighbours (Å) after each atom.
Fractional positions:
1 Tm 0.5000 0.5000 0.5000  12 Fe 2.91, 4 Tm 3.04
2 Tm 0.7500 0.7500 0.7500  12 Fe 2.91, 4 Tm 3.04
3 Fe 0.1250 0.6250 0.1250  6 Fe 2.49
4 Fe 0.1250 0.1250 0.6250  6 Fe 2.49
5 Fe 0.6250 0.1250 0.1250  6 Fe 2.49
6 Fe 0.1250 0.1250 0.1250  6 Fe 2.49

(6)
Crystalline TmFe2 at its relaxed geometry. Source: the Alexandria database, functional GGA-PBEsol.

a = 4.9724 Å, b = 4.9724 Å, c = 8.0948 Å
α = 90.00°, β = 90.00°, γ = 120.00°
With the nearest neighbours (Å) after each atom.
Fractional positions:
1 Tm 0.6667 0.3333 0.9378  12 Fe 2.91, 4 Tm 3.04
2 Tm 0.3333 0.6667 0.0622  12 Fe 2.91, 4 Tm 3.04
3 Tm 0.3333 0.6667 0.4378  12 Fe 2.91, 4 Tm 3.04
4 Tm 0.6667 0.3333 0.5622  12 Fe 2.91, 4 Tm 3.04
5 Fe 0.1659 0.3319 0.7500  6 Fe 2.48-2.50
6 Fe 0.1659 0.8341 0.7500  6 Fe 2.48-2.50
7 Fe 0.3319 0.1659 0.2500  6 Fe 2.48-2.50
8 Fe 0.8341 0.6681 0.2500  6 Fe 2.48-2.50
9 Fe 0.0000 0.0000 0.0000  6 Fe 2.48
10 Fe 0.6681 0.8341 0.7500  6 Fe 2.48-2.50
11 Fe 0.8341 0.1659 0.2500  6 Fe 2.48-2.50
12 Fe 0.0000 0.0000 0.5000  6 Fe 2.48

(7)
Crystalline Tm6Fe23 at its relaxed geometry. Source: the Alexandria database, functional GGA-PBEsol.

a = 8.2096 Å, b = 8.2096 Å, c = 8.2096 Å
α = 60.00°, β = 60.00°, γ = 60.00°
With the nearest neighbours (Å) after each atom.
Fractional positions:
1 Tm 0.2918 0.2918 0.7082  12 Fe 2.81-2.94
2 Tm 0.7082 0.2918 0.7082  12 Fe 2.81-2.94
3 Tm 0.7082 0.2918 0.2918  12 Fe 2.81-2.94
4 Tm 0.7082 0.7082 0.2918  12 Fe 2.81-2.94
5 Tm 0.2918 0.7082 0.2918  12 Fe 2.81-2.94
6 Tm 0.2918 0.7082 0.7082  12 Fe 2.81-2.94
7 Fe 0.0000 0.0000 0.0000  8 Fe 2.45
8 Fe 0.5000 0.5000 0.0000  8 Fe 2.38-2.54
9 Fe 0.0000 0.5000 0.0000  8 Fe 2.38-2.54
10 Fe 0.0000 0.5000 0.5000  8 Fe 2.38-2.54
11 Fe 0.0000 0.0000 0.5000  8 Fe 2.38-2.54
12 Fe 0.5000 0.0000 0.5000  8 Fe 2.38-2.54
13 Fe 0.5000 0.0000 0.0000  8 Fe 2.38-2.54
14 Fe 0.8783 0.3652 0.8783  7 Fe 2.45-2.54
15 Fe 0.8783 0.8783 0.3652  7 Fe 2.45-2.54
16 Fe 0.8783 0.8783 0.8783  7 Fe 2.45-2.54
17 Fe 0.3652 0.8783 0.8783  7 Fe 2.45-2.54
18 Fe 0.1217 0.6348 0.1217  7 Fe 2.45-2.54
19 Fe 0.1217 0.1217 0.6348  7 Fe 2.45-2.54
20 Fe 0.1217 0.1217 0.1217  7 Fe 2.45-2.54
21 Fe 0.6348 0.1217 0.1217  7 Fe 2.45-2.54
22 Fe 0.6745 0.9766 0.6745  9 Fe 2.38-2.52
23 Fe 0.6745 0.6745 0.9766  9 Fe 2.38-2.52
24 Fe 0.6745 0.6745 0.6745  9 Fe 2.38-2.52
25 Fe 0.9766 0.6745 0.6745  9 Fe 2.38-2.52
26 Fe 0.3255 0.0234 0.3255  9 Fe 2.38-2.52
27 Fe 0.3255 0.3255 0.0234  9 Fe 2.38-2.52
28 Fe 0.3255 0.3255 0.3255  9 Fe 2.38-2.52
29 Fe 0.0234 0.3255 0.3255  9 Fe 2.38-2.52

(8)
Crystalline V3Fe at its relaxed geometry. Source: the Alexandria database, functional GGA-PBEsol.

a = 4.0644 Å, b = 4.0644 Å, c = 4.0644 Å
α = 60.00°, β = 60.00°, γ = 60.00°
With the nearest neighbours (Å) after each atom.
Fractional positions:
1 Fe 0.0000 0.0000 0.0000  8 V 2.49
2 V 0.2500 0.2500 0.2500  4 V 2.49, 4 Fe 2.49
3 V 0.7500 0.7500 0.7500  4 Fe 2.49, 4 V 2.49
4 V 0.5000 0.5000 0.5000  8 V 2.49

(9)
Crystalline VFe3 at its relaxed geometry. Source: the Alexandria database, functional GGA-PBEsol.

a = 2.4360 Å, b = 2.4360 Å, c = 7.8951 Å
α = 90.00°, β = 90.00°, γ = 107.94°
With the nearest neighbours (Å) after each atom.
Fractional positions:
1 Fe 0.5000 0.5000 0.7469  6 Fe 2.42-2.44, 2 V 2.46
2 Fe 0.0000 0.0000 0.5000  8 Fe 2.42-2.44
3 Fe 0.5000 0.5000 0.2531  6 Fe 2.42-2.44, 2 V 2.46
4 V 0.0000 0.0000 0.0000  4 V 2.44, 4 Fe 2.46

(10)
Crystalline VFe3 at its relaxed geometry. Source: the Alexandria database, functional GGA-PBEsol.

a = 3.9720 Å, b = 3.9720 Å, c = 3.9720 Å
α = 60.00°, β = 60.00°, γ = 60.00°
With the nearest neighbours (Å) after each atom.
Fractional positions:
1 Fe 0.7500 0.7500 0.7500  4 Fe 2.43, 4 V 2.43
2 Fe 0.2500 0.2500 0.2500  4 Fe 2.43, 4 V 2.43
3 Fe 0.0000 0.0000 0.0000  8 Fe 2.43
4 V 0.5000 0.5000 0.5000  8 Fe 2.43

(11)
Crystalline VFe4 at its relaxed geometry. Source: the Alexandria database, functional GGA-PBEsol.

a = 2.4354 Å, b = 2.4354 Å, c = 9.1702 Å
α = 97.64°, β = 97.64°, γ = 89.95°
With the nearest neighbours (Å) after each atom.
Fractional positions:
1 Fe 0.3918 0.3918 0.7836  8 Fe 2.36-2.44, 4 V 2.60
2 Fe 0.8019 0.8019 0.6037  12 Fe 2.36-2.54
3 Fe 0.1981 0.1981 0.3963  12 Fe 2.36-2.54
4 Fe 0.6082 0.6082 0.2164  8 Fe 2.36-2.44, 4 V 2.60
5 V 0.0000 0.0000 0.0000  4 V 2.44, 8 Fe 2.60

(12)
Crystalline V3Fe at its relaxed geometry. Source: the Alexandria database, functional GGA-PBEsol.

a = 4.5840 Å, b = 4.5840 Å, c = 4.5840 Å
α = 90.00°, β = 90.00°, γ = 90.00°
With the nearest neighbours (Å) after each atom.
Fractional positions:
1 V 0.0000 0.5000 0.7500  2 V 2.29, 4 Fe 2.56
2 V 0.5000 0.2500 0.0000  2 V 2.29, 4 Fe 2.56
3 V 0.7500 0.0000 0.5000  2 V 2.29, 4 Fe 2.56
4 V 0.0000 0.5000 0.2500  2 V 2.29, 4 Fe 2.56
5 V 0.5000 0.7500 0.0000  2 V 2.29, 4 Fe 2.56
6 V 0.2500 0.0000 0.5000  2 V 2.29, 4 Fe 2.56
7 Fe 0.5000 0.5000 0.5000  12 V 2.56
8 Fe 0.0000 0.0000 0.0000  12 V 2.56

Computed size of the total moment, in the same sequence as the records: 0.00; 1.59; 0.56; 14.05; 5.59; 10.58; 41.55; 0.00; 5.58; 4.89; 0.74; 0.00 μB/cell.
Computed DFT formation energy, in the same sequence as the records: -3.30; 19.63; 0.10; -2.54; -3.43; -2.90; -1.56; -3.89; -0.93; -2.87; 0.38; -4.60 kcal/mol of atoms.